1.
Ta2Nb5Fe2W: optimized geometry, PBE.

Unit cell a=3.248 b=10.262 c=10.262 alpha=90.00 beta=90.00 gamma=90.00
Fractional positions:
Fe 0.000 0.374 0.126
Fe 0.000 0.874 0.374
Fe 0.000 0.126 0.626
Fe 0.000 0.626 0.874
Nb 0.500 0.435 0.295
Nb 0.500 0.205 0.065
Nb 0.500 0.065 0.795
Nb 0.500 0.295 0.565
Nb 0.500 0.705 0.435
Nb 0.500 0.000 0.500
Nb 0.500 0.565 0.705
Nb 0.500 0.935 0.205
Nb 0.500 0.795 0.935
Nb 0.500 0.500 0.000
W 0.000 0.500 0.500
W 0.000 0.000 0.000
Ta 0.000 0.175 0.325
Ta 0.000 0.675 0.175
Ta 0.000 0.825 0.675
Ta 0.000 0.325 0.825

## Properties
* total magnetic moment: 0.0 μB per formula unit
* E: -102.89 eV per formula unit
* calculated volume: 171.0 Å³/f.u.

2.
TbNbFe4: optimized geometry, PBE.

Unit cell a=4.997 b=4.997 c=4.997 alpha=60.00 beta=60.00 gamma=60.00
Each line ends with the local moment (μB).
Fractional positions:
Tb 0.000 0.000 0.000  -0.42
Fe 0.127 0.624 0.624  1.94
Fe 0.624 0.127 0.624  1.94
Fe 0.624 0.624 0.127  1.94
Fe 0.624 0.624 0.624  1.94
Nb 0.250 0.250 0.250  -0.98

## Properties
* total magnetic moment: 6.2 μB per formula unit
* E: -48.79 eV per formula unit
* calculated volume: 88.2 Å³/f.u.